[1]
This record from Alexandria via LeMat-Bulk describes an optimized crystal structure of KLiZr2. The functional is GGA-PBE.

a b c (Å): 3.2496 3.2496 11.0000
angles (deg): 90.00 90.00 89.99
Closest atoms and distances in Å follow each position.
Fractional coordinates of all 4 atoms:
Li 0.5000 0.5000 0.7944  4 Li 3.25, 4 Zr 3.29
K 0.0000 0.0000 0.5031  4 K 3.25
Zr 0.0000 0.0000 0.0088  8 Zr 3.07-3.25, 4 Li 3.29
Zr 0.5000 0.5000 0.1938  8 Zr 3.07-3.25

Summary:
Offset from the most stable computed form in meV per atom: 0.0
Crystal system: tetragonal
Formation energy from the elements in eV/f.u.: 1.25
SG: No. 99
D(E_F) in states/eV per cell: 3.9

[2]
This record from Alexandria via LeMat-Bulk describes an optimized crystal structure of Er7TlIn4. The functional is GGA-PBE.

a b c (Å): 5.6640 9.2658 7.6844
angles (deg): 81.26 68.37 72.20
Closest atoms and distances in Å follow each position.
Fractional coordinates of all 12 atoms:
In 0.5651 0.2247 0.6451  8 Er 3.03-3.32, 1 In 3.23
In 0.4349 0.7753 0.3549  8 Er 3.03-3.32, 1 In 3.23
Er 0.2151 0.1319 0.4378  4 In 3.15-3.32, 2 Er 3.27-3.38
Er 0.5000 0.0000 0.0000  2 Tl 2.83, 4 In 3.06-3.15
Er 0.7849 0.8681 0.5622  4 In 3.15-3.32, 2 Er 3.27-3.38
In 0.7040 0.6601 0.9318  8 Er 3.06-3.36, 1 In 3.23
Er 0.6569 0.4092 0.2769  5 In 3.03-3.30
Tl 0.0000 0.0000 0.0000  4 Er 2.83-3.12
Er 0.3431 0.5908 0.7231  5 In 3.03-3.30
In 0.2960 0.3399 0.0682  8 Er 3.06-3.36, 1 In 3.23
Er 0.9286 0.3269 0.8159  5 In 3.09-3.36, 1 Tl 3.12, 2 Er 3.27-3.40
Er 0.0714 0.6731 0.1841  5 In 3.09-3.36, 1 Tl 3.12, 2 Er 3.27-3.40

Summary:
Crystal system: monoclinic
Formation energy from the elements in eV/f.u.: -1.45
SG: No. 12
D(E_F) in states/eV per cell: 12.1